VASP calculation (PBE) on a relaxed BiPdPt5 crystal.

Results
DFT total energy ... -5.659 eV/atom
Space group ... P4/mmm, No. 123
Total moment ... 0.0 μB per formula unit
Calculated formation energy ... -4.6 kJ/mol of atoms

abc: 3.9079 3.9079 8.2961
angles: 90.00 90.00 90.00
With the nearest neighbours (Å) after each atom.
Positions (direct):
Bi1 0.0000 0.0000 0.0000  8 Pt 2.87
Pd1 0.5000 0.5000 0.5000  12 Pt 2.76-2.83
Pt1 0.0000 0.0000 0.5000  4 Pd 2.76, 8 Pt 2.83
Pt2 0.0000 0.5000 0.2533  6 Pt 2.76-2.83, 2 Pd 2.83, 2 Bi 2.87
Pt3 0.0000 0.5000 0.7467  6 Pt 2.76-2.83, 2 Pd 2.83, 2 Bi 2.87
Pt4 0.5000 0.0000 0.2533  6 Pt 2.76-2.83, 2 Pd 2.83, 2 Bi 2.87
Pt5 0.5000 0.0000 0.7467  6 Pt 2.76-2.83, 2 Pd 2.83, 2 Bi 2.87